This record from the Alexandria database describes a relaxed Cu2IF2 crystal. The functional is PBE.

Cell: 7.397 7.397 2.908 Å, 90.00 90.00 90.00°
Space group P4/mbm (No. 127)
Symmetry-distinct sites (fractional):
Cu1 0.123 0.377 0.000 [4 per cell]
I1 0.000 0.000 0.500 [2 per cell]
F1 0.119 0.619 0.500 [4 per cell]

The calculation puts the energy above the lowest structure with this stoichiometry at 262 meV/atom. As for the formation energy without anion corrections: -0.4002 eV per atom. Its crystal system is tetragonal.